# YV2AuF

YV2AuF after structural relaxation (GGA+U, Alexandria).

Total DFT energy (no corrections) ... -3.956 eV/atom

a = 5.827 Å, b = 5.827 Å, c = 5.365 Å
α = 90.00°, β = 90.00°, γ = 90.00°
Space group P4/mmm (No. 123)
One atom of each set of equivalent atoms:
Y: 0.000 0.000 0.000 x1
V: 0.000 0.500 0.000 x2
Au: 0.000 0.000 0.500 x1
F: 0.500 0.500 0.500 x1